A relaxed RbNaBeTe2 crystal. Source: the Alexandria database, functional PBE.

Cell lengths 8.123, 5.712, 8.729 Å; angles 90.00, 103.53, 90.00 degrees
Atoms (fractional coordinates):
Rb1 0.000 0.244 0.250
Rb2 0.000 0.756 0.750
Na1 0.500 0.485 0.750
Na2 0.500 0.515 0.250
Be1 0.500 0.000 0.000
Be2 0.500 0.000 0.500
Te1 0.275 0.235 0.957
Te2 0.275 0.765 0.457
Te3 0.725 0.235 0.543
Te4 0.725 0.765 0.043

The formation energy without anion corrections comes out at -636 meV per atom. The space-group type is P2/c (13). As for the density of states at the Fermi level: 0.00 states/eV/atom. For the raw total energy, the calculation gives -3.095 eV per atom.

A relaxed FeSe2IN crystal. Source: the Alexandria database, functional PBE.

Cell lengths 5.098, 5.098, 3.492 Å; angles 90.00, 90.00, 90.00 degrees
Atoms (fractional coordinates):
Fe1 0.000 0.000 0.000
Se1 0.000 0.500 0.000
Se2 0.500 0.000 0.000
I1 0.500 0.500 0.500
N1 0.000 0.000 0.500

The formation energy without anion corrections comes out at 483 meV per atom. The space-group type is P4/mmm (123). As for the density of states at the Fermi level: 0.58 states/eV/atom. For the raw total energy, the calculation gives -4.578 eV per atom.

A relaxed LaZr2Mo2 crystal. Source: the Alexandria database, functional PBE.

Cell lengths 8.080, 8.080, 3.399 Å; angles 90.00, 90.00, 90.00 degrees
Atoms (fractional coordinates):
La1 0.000 0.000 0.000
La2 0.500 0.500 0.000
Zr1 0.142 0.358 0.500
Zr2 0.358 0.858 0.500
Zr3 0.642 0.142 0.500
Zr4 0.858 0.642 0.500
Mo1 0.142 0.642 0.000
Mo2 0.358 0.142 0.000
Mo3 0.642 0.858 0.000
Mo4 0.858 0.358 0.000

The calculated formation energy is 0.308 eV/atom. The space-group type is P4/mbm (127). As for the density of states at the Fermi level: 1.52 states/eV/atom. For the raw total energy, the calculation gives -8.429 eV per atom.

A relaxed NdSm6Se8 crystal. Source: the Alexandria database, functional PBE.

Cell lengths 8.325, 8.325, 8.325 Å; angles 60.00, 60.00, 60.00 degrees
Atoms (fractional coordinates):
Nd1 0.000 0.000 0.000
Sm1 0.000 0.000 0.500
Sm2 0.000 0.500 0.000
Sm3 0.000 0.500 0.500
Sm4 0.500 0.000 0.000
Sm5 0.500 0.000 0.500
Sm6 0.500 0.500 0.000
Se1 0.250 0.250 0.250
Se2 0.256 0.256 0.744
Se3 0.256 0.744 0.256
Se4 0.256 0.744 0.744
Se5 0.744 0.256 0.256
Se6 0.744 0.256 0.744
Se7 0.744 0.744 0.256
Se8 0.750 0.750 0.750

The formation energy without anion corrections comes out at -1866 meV per atom. The space-group type is Fm-3m (225). As for the density of states at the Fermi level: 0.43 states/eV/atom. For the raw total energy, the calculation gives -5.930 eV per atom.